Model w:
## SbNF3 (PBE)

Data for an optimized crystal structure of SbNF3.

a = 4.015 Å, b = 4.015 Å, c = 4.015 Å
α = 90.00°, β = 90.00°, γ = 90.00°
Each line ends with the local moment (μB).
Fractional positions:
F 0.000 0.000 0.500  -0.03
N 0.000 0.000 0.000  0.56
F 0.000 0.500 0.000  0.01
F 0.500 0.000 0.000  0.03
Sb 0.500 0.500 0.500  -0.10

Values from the calculation:
crystal system = cubic
total magnetic moment = 0.5 μB per cell
volume = 12.94 Å³/atom

---

Model x:
## SbNF3 (PBE)

Data for an optimized crystal structure of SbNF3.

a = 4.437 Å, b = 4.437 Å, c = 4.437 Å
α = 90.00°, β = 90.00°, γ = 90.00°
Each line ends with the local moment (μB).
Fractional positions:
Sb 0.000 0.000 0.000  0.00
F 0.000 0.000 0.500  0.03
F 0.500 0.000 0.000  0.02
N 0.500 0.500 0.500  1.93
F 0.000 0.500 0.000  0.02

Values from the calculation:
crystal system = cubic
total magnetic moment = 3.0 μB per cell
volume = 17.47 Å³/atom

---

Model y:
## SbNF3 (PBE)

Data for an optimized crystal structure of SbNF3.

a = 5.704 Å, b = 10.523 Å, c = 10.523 Å
α = 47.09°, β = 78.19°, γ = 78.19°
Fractional positions:
F 0.661 0.365 0.394
Sb 0.371 0.546 0.147
F 0.839 0.606 0.635
Sb 0.871 0.147 0.546
F 0.420 0.357 0.143
F 0.161 0.394 0.365
F 0.584 0.023 0.653
N 0.750 0.925 0.075
F 0.916 0.347 0.977
Sb 0.129 0.853 0.454
F 0.920 0.143 0.357
F 0.339 0.635 0.606
F 0.416 0.977 0.347
F 0.084 0.653 0.023
F 0.080 0.857 0.643
F 0.580 0.643 0.857
N 0.250 0.075 0.925
N 0.750 0.792 0.208
Sb 0.629 0.454 0.853
N 0.250 0.208 0.792

Values from the calculation:
crystal system = monoclinic
total magnetic moment = 0.0 μB per cell
volume = 22.55 Å³/atom

---

Most stable to least stable, the ends of the list are model y and model w.